# 1
Hf6BiIr, relaxed, DFT GGA-PBE; total moment = 0.000 μB/cell; symmetry = No. 12; ρ = 13.74 g/cm3; E_form = -1 kJ per mole of atoms; Fermi-level density of states = 0.95 states/eV/atom
1.0
-3.3446 -1.9293 -4.6340
-0.3726 -3.8766 4.6060
-2.3001 5.4323 1.8847
Hf Bi Ir
6 1 1
direct
0.2477 0.2477 0.7106 Hf
0.7316 0.2471 0.2543 Hf
0.7523 0.7523 0.2894 Hf
0.7529 0.2684 0.7457 Hf
0.2684 0.7529 0.7457 Hf
0.2471 0.7316 0.2543 Hf
0.0000 0.0000 0.0000 Bi
0.5000 0.5000 0.5000 Ir

---

# 2
Hf2BiIr, relaxed, DFT GGA-PBE; total moment = 0.000 μB/cell; symmetry = No. 122; ρ = 13.66 g/cm3; E_form = -16 kJ per mole of atoms; Fermi-level density of states = 0.67 states/eV/atom
1.0
7.7375 0.0000 0.0000
0.0000 7.7375 0.0000
3.8687 3.8687 3.0787
Ir Hf Bi
2 4 2
direct
0.5000 0.5000 0.0000 Ir
0.2500 0.7500 0.5000 Ir
0.5739 0.1250 0.2500 Hf
0.1761 0.6250 0.2500 Hf
0.3750 0.4261 0.7500 Hf
0.8750 0.8239 0.7500 Hf
0.0000 0.0000 0.0000 Bi
0.7500 0.2500 0.5000 Bi

---

# 3
Hf2Bi2Ir, relaxed, DFT GGA-PBE; total moment = 0.000 μB/cell; symmetry = No. 123; ρ = 11.45 g/cm3; E_form = 71 kJ per mole of atoms; Fermi-level density of states = 1.03 states/eV/atom
1.0
-3.8922 2.9022 -2.1675
-1.7531 -4.2934 -2.6006
-2.9591 -1.1101 3.8274
Ir Hf Bi
1 2 2
direct
0.0000 0.0000 0.0000 Ir
0.5000 0.5000 0.5000 Hf
0.0000 0.0000 0.5000 Hf
0.0000 0.5000 0.0000 Bi
0.5000 0.0000 0.0000 Bi

---

Number 1: DFT total energy -9.0686 eV/atom. Number 2: DFT total energy -8.3269 eV/atom. Number 3: DFT total energy -6.5713 eV/atom.